No. 1
Material: KU2NiSe4
Method: DFT, PBE
State: relaxed

Cell: 7.4008 7.4008 14.1115 Å, 90.00 90.00 148.47°
With the nearest neighbours (Å) after each atom.
Fractional positions:
K: 0.1027 0.8973 0.7500  6 Se 3.21-3.31
K: 0.8973 0.1027 0.2500  6 Se 3.21-3.31
U: 0.3635 0.6365 0.5629  6 Se 2.79-2.94
U: 0.3635 0.6365 0.9371  6 Se 2.79-2.94
U: 0.6365 0.3635 0.0629  6 Se 2.79-2.94
U: 0.6365 0.3635 0.4371  6 Se 2.79-2.94
Ni: 0.1657 0.8343 0.2500  4 Se 2.39-2.41
Ni: 0.8343 0.1657 0.7500  4 Se 2.39-2.41
Se: 0.0000 0.0000 0.0000  4 U 2.94
Se: 0.0000 0.0000 0.5000  4 U 2.94
Se: 0.2686 0.7314 0.1163  1 Ni 2.39
Se: 0.2686 0.7314 0.3837  1 Ni 2.39
Se: 0.4274 0.5726 0.7500  2 Ni 2.41
Se: 0.5726 0.4274 0.2500  2 Ni 2.41
Se: 0.7314 0.2686 0.6163  1 Ni 2.39
Se: 0.7314 0.2686 0.8837  1 Ni 2.39

Formation energy without anion corrections: -1050 meV/atom
Space-group type: Cmcm
Total magnetization: 0.620 μB per atom
Energy: -6.474 eV/atom

***

No. 2
Material: KVNiSe3
Method: DFT, PBE
State: relaxed

Cell: 8.5275 3.6069 9.6349 Å, 90.00 116.18 90.00°
With the nearest neighbours (Å) after each atom.
Fractional positions:
K: 0.0124 0.2500 0.2646  7 Se 3.27-3.55, 2 K 3.61
K: 0.9876 0.7500 0.7354  7 Se 3.27-3.55, 2 K 3.61
V: 0.4682 0.2500 0.1758  6 Se 2.42-2.61
V: 0.5318 0.7500 0.8242  6 Se 2.42-2.61
Ni: 0.4794 0.7500 0.3922  4 Se 2.34-2.47
Ni: 0.5206 0.2500 0.6078  4 Se 2.34-2.47
Se: 0.2507 0.7500 0.1417  1 Ni 2.34, 2 V 2.50
Se: 0.3226 0.7500 0.5548  3 Ni 2.37-2.47, 1 V 2.42
Se: 0.3435 0.2500 0.8745  3 V 2.60-2.61
Se: 0.6565 0.7500 0.1255  3 V 2.60-2.61
Se: 0.6774 0.2500 0.4452  3 Ni 2.37-2.47, 1 V 2.42
Se: 0.7493 0.2500 0.8583  1 Ni 2.34, 2 V 2.50

Formation energy without anion corrections: -762 meV/atom
Space-group type: P2_1/m
Total magnetization: 0.000 μB per atom
Energy: -5.171 eV/atom

***

No. 3
Material: K2VNiSe4
Method: DFT, PBE
State: relaxed

Cell: 13.5662 12.0672 7.3471 Å, 84.97 62.38 32.65°
With the nearest neighbours (Å) after each atom.
Fractional positions:
K: 0.0546 0.0546 0.6954  8 Se 3.46-3.60
K: 0.3046 0.3046 0.9454  8 Se 3.46-3.60
K: 0.6954 0.6954 0.0546  8 Se 3.46-3.60
K: 0.9454 0.9454 0.3046  8 Se 3.46-3.60
V: 0.3750 0.3750 0.3750  4 Se 2.33
V: 0.6250 0.6250 0.6250  4 Se 2.33
Ni: 0.1250 0.1250 0.1250  4 Se 2.35
Ni: 0.8750 0.8750 0.8750  4 Se 2.35
Se: 0.0255 0.3359 0.4230  1 V 2.33, 1 Ni 2.35
Se: 0.2844 0.5770 0.6641  1 V 2.33, 1 Ni 2.35
Se: 0.3359 0.0255 0.7156  1 V 2.33, 1 Ni 2.35
Se: 0.4230 0.7156 0.0255  1 V 2.33, 1 Ni 2.35
Se: 0.5770 0.2844 0.9745  1 V 2.33, 1 Ni 2.35
Se: 0.6641 0.9745 0.2844  1 V 2.33, 1 Ni 2.35
Se: 0.7156 0.4230 0.3359  1 V 2.33, 1 Ni 2.35
Se: 0.9745 0.6641 0.5770  1 V 2.33, 1 Ni 2.35

Formation energy without anion corrections: -878 meV/atom
Space-group type: Fddd
Total magnetization: 0.074 μB per atom
Energy: -4.757 eV/atom

***

No. 4
Material: KNiW2Se8
Method: DFT, PBE
State: relaxed

Cell: 10.4803 10.4803 10.4803 Å, 35.20 35.20 35.20°
With the nearest neighbours (Å) after each atom.
Fractional positions:
K: 0.0000 0.0000 0.0000  12 Se 3.68-4.03
Ni: 0.5000 0.5000 0.5000  6 Se 2.48
W: 0.2417 0.2417 0.2417  4 Se 2.32-2.35
W: 0.7583 0.7583 0.7583  4 Se 2.32-2.35
Se: 0.1420 0.4360 0.7713  1 W 2.35, 1 Ni 2.48
Se: 0.2287 0.8580 0.5640  1 W 2.35, 1 Ni 2.48
Se: 0.3205 0.3205 0.3205  1 W 2.32
Se: 0.4360 0.7713 0.1420  1 W 2.35, 1 Ni 2.48
Se: 0.5640 0.2287 0.8580  1 W 2.35, 1 Ni 2.48
Se: 0.6795 0.6795 0.6795  1 W 2.32
Se: 0.7713 0.1420 0.4360  1 W 2.35, 1 Ni 2.48
Se: 0.8580 0.5640 0.2287  1 W 2.35, 1 Ni 2.48

Formation energy without anion corrections: -270 meV/atom
Space-group type: R-3
Total magnetization: 0.068 μB per atom
Energy: -5.325 eV/atom

***

No. 5
Material: KZrNiSe3
Method: DFT, PBE
State: relaxed

Cell: 8.9692 3.8464 9.5690 Å, 90.00 113.14 90.00°
With the nearest neighbours (Å) after each atom.
Fractional positions:
K: 0.2212 0.2500 0.2451  7 Se 3.30-3.44
K: 0.7788 0.7500 0.7549  7 Se 3.30-3.44
Zr: 0.3071 0.7500 0.8332  6 Se 2.68-2.82
Zr: 0.6929 0.2500 0.1668  6 Se 2.68-2.82
Ni: 0.0896 0.2500 0.5967  4 Se 2.38-2.43
Ni: 0.9104 0.7500 0.4033  4 Se 2.38-2.43
Se: 0.1103 0.2500 0.8581  1 Ni 2.43, 2 Zr 2.68
Se: 0.2031 0.7500 0.5290  3 Ni 2.38-2.42
Se: 0.4672 0.7500 0.1524  3 Zr 2.76-2.82
Se: 0.5328 0.2500 0.8476  3 Zr 2.76-2.82
Se: 0.7969 0.2500 0.4710  3 Ni 2.38-2.42
Se: 0.8897 0.7500 0.1419  1 Ni 2.43, 2 Zr 2.68

Formation energy without anion corrections: -1102 meV/atom
Space-group type: P2_1/m
Total magnetization: 0.018 μB per atom
Energy: -5.415 eV/atom

***

No. 6
Material: K2ZrNi2Se4
Method: DFT, PBE
State: relaxed

Cell: 7.3517 7.3517 7.9322 Å, 107.05 107.05 30.37°
With the nearest neighbours (Å) after each atom.
Fractional positions:
K: 0.1342 0.1342 0.0582  7 Se 3.27-3.46, 1 K 3.64
K: 0.8658 0.8658 0.9418  7 Se 3.27-3.46, 1 K 3.64
Zr: 0.0000 0.0000 0.5000  6 Se 2.74-2.76
Ni: 0.3214 0.3214 0.5094  4 Se 2.37-2.45
Ni: 0.6786 0.6786 0.4906  4 Se 2.37-2.45
Se: 0.2006 0.2006 0.6734  3 Ni 2.37-2.45
Se: 0.4813 0.4813 0.7329  1 Ni 2.42
Se: 0.5187 0.5187 0.2671  1 Ni 2.42
Se: 0.7994 0.7994 0.3266  3 Ni 2.37-2.45

Formation energy without anion corrections: -942 meV/atom
Space-group type: C2/m
Total magnetization: 0.043 μB per atom
Energy: -4.969 eV/atom

***

No. 7
Material: KZrNiSe4
Method: DFT, PBE
State: relaxed

Cell: 6.7352 5.7552 9.3257 Å, 90.00 107.85 90.00°
With the nearest neighbours (Å) after each atom.
Fractional positions:
K: 0.2323 0.2500 0.0486  8 Se 3.27-3.62
K: 0.7677 0.7500 0.9514  8 Se 3.27-3.62
Zr: 0.2715 0.2500 0.5598  6 Se 2.68-2.89, 1 Ni 2.96
Zr: 0.7285 0.7500 0.4402  6 Se 2.68-2.89, 1 Ni 2.96
Ni: 0.2666 0.7500 0.3310  4 Se 2.30-2.32
Ni: 0.7334 0.2500 0.6690  4 Se 2.30-2.32
Se: 0.0102 0.5022 0.6902  1 Ni 2.32
Se: 0.0102 0.9978 0.6902  1 Ni 2.32
Se: 0.4301 0.7500 0.5889  1 Ni 2.32
Se: 0.4548 0.7500 0.1626  1 Ni 2.30
Se: 0.5452 0.2500 0.8374  1 Ni 2.30
Se: 0.5699 0.2500 0.4111  1 Ni 2.32
Se: 0.9898 0.0022 0.3098  1 Ni 2.32
Se: 0.9898 0.4978 0.3098  1 Ni 2.32

Formation energy without anion corrections: -853 meV/atom
Space-group type: P2_1/m
Total magnetization: 0.024 μB per atom
Energy: -5.048 eV/atom

***

No. 8
Material: K2Zr2NiSe6
Method: DFT, PBE
State: relaxed

Cell: 6.6576 6.6576 8.2243 Å, 98.07 98.07 119.89°
With the nearest neighbours (Å) after each atom.
Fractional positions:
K: 0.1693 0.8307 0.0000  6 Se 3.29-3.32
K: 0.8307 0.1693 0.0000  6 Se 3.29-3.32
Zr: 0.3322 0.6678 0.5000  6 Se 2.71-2.72
Zr: 0.6678 0.3322 0.5000  6 Se 2.71-2.72
Ni: 0.0000 0.0000 0.5000  6 Se 2.61-2.62
Se: 0.0684 0.3883 0.6910  1 Ni 2.62, 2 Zr 2.71-2.72
Se: 0.2563 0.2563 0.3113  1 Ni 2.61, 2 Zr 2.72
Se: 0.3883 0.0684 0.6910  1 Ni 2.62, 2 Zr 2.71-2.72
Se: 0.6117 0.9316 0.3090  1 Ni 2.62, 2 Zr 2.71-2.72
Se: 0.7437 0.7437 0.6887  1 Ni 2.61, 2 Zr 2.72
Se: 0.9316 0.6117 0.3090  1 Ni 2.62, 2 Zr 2.71-2.72

Formation energy without anion corrections: -1094 meV/atom
Space-group type: C2/m
Total magnetization: 0.182 μB per atom
Energy: -5.274 eV/atom